This record from Alexandria via LeMat-Bulk describes Cs2Se2Cl after structural relaxation. The functional is PBE.

Cell and atoms, written as POSCAR:
```
Cs2Se2Cl
1.0
-2.0528 2.0528 10.2170
2.0528 -2.0528 10.2170
2.0528 2.0528 -10.2170
Cs Se Cl
2 2 1
Direct
0.1017 0.1017 0.0000
0.8983 0.8983 0.0000
0.2500 0.7500 0.5000
0.7500 0.2500 0.5000
0.5000 0.5000 0.0000
```

Properties
Total DFT energy (no corrections) (eV per cell): -16.1
E_form (uncorrected) (kJ per mole of atoms): -107.5
M_tot (μB per atom): 0.000
SG: No. 139